A plane-wave DFT calculation with PBE-GGA was carried out for crystalline Ac2Si2N5 at its relaxed geometry.

Summary:
* V: 244.7 Å³/cell
* formation energy (no corrections): -729 kJ/mol of formula units
* total magnetic moment: 1.37 μB per cell

Cell lengths 10.1923, 3.9192, 6.2614 Å; angles 90.00, 101.96, 90.00 degrees
Last column: nearest neighbours and their distance in Å.
Space group C2/m (No. 12)
Inequivalent atoms, fractional coordinates:
Ac: 0.0944 0.0000 0.3121 x4  7 N 2.65-2.90
Si: 0.1539 0.5000 0.9010 x4  3 N 1.75-1.80
N: 0.0000 0.5000 0.0000 x2  2 Si 1.80
N: 0.1396 0.5000 0.6182 x4  1 Si 1.75
N: 0.1787 0.0000 0.9396 x4  3 Si 1.79-1.98